No. 1
Compound: TlSbTe2S
Source: Alexandria via LeMat-Bulk
Functional: GGA-PBE
Structure: optimized geometry

abc: 5.6579 5.6579 5.8039
angles: 90.00 90.00 90.00
With the nearest neighbours (Å) after each atom.
Fractional coordinates of all 5 atoms:
Tl: 0.0000 0.0000 0.0000  4 Te 2.83, 2 Sb 2.90
Sb: 0.0000 0.0000 0.5000  2 Tl 2.90
Te: 0.0000 0.5000 0.0000  2 Tl 2.83
Te: 0.5000 0.0000 0.0000  2 Tl 2.83
S: 0.5000 0.5000 0.5000  4 Sb 4.00, 8 Te 4.05

Results
The value obtained for the energy relative to the elements, uncorrected is 1.103 eV per atom. As for the excess energy over the best structure of this formula in the dataset: 829.8 meV/atom. The density comes out at 5482 kg/m³. As for the total moment: 0.0 μB per formula unit.

***

No. 2
Compound: AlCuN
Source: Alexandria via LeMat-Bulk
Functional: GGA-PBE
Structure: optimized geometry

abc: 4.7066 3.0792 5.4747
angles: 90.00 91.55 90.00
With the nearest neighbours (Å) after each atom.
Fractional coordinates of all 6 atoms:
Al: 0.0000 0.0000 0.0000  3 N 1.88-1.90
Al: 0.1038 0.5000 0.5020  3 N 1.81
Cu: 0.5409 0.5000 0.8980  1 N 2.04
Cu: 0.5568 0.0000 0.2588  1 N 2.04
N: 0.1119 0.5000 0.8322  3 Al 1.81-1.88
N: 0.1334 0.0000 0.3302  3 Al 1.81-1.90

Results
The value obtained for the energy relative to the elements, uncorrected is -0.364 eV per atom. As for the excess energy over the best structure of this formula in the dataset: 56.5 meV/atom. The density comes out at 4377 kg/m³. As for the total moment: 0.0 μB per formula unit.

***

- Which formula does entry 1 have?
  TlSbTe2S

***

- What is the excess energy over the best structure of this formula in the dataset in the first record?
  829.8 meV/atom

***

- The lowest energy relative to the elements, uncorrected belongs to which entry?
  AlCuN